# 1
Compound: Gd3CuSiSe7
Source: Alexandria
Functional: PBE
Structure: optimized geometry

Unit cell a=10.458 b=10.458 c=6.037 alpha=90.00 beta=90.00 gamma=120.00
Atoms (fractional coordinates):
Gd 0.129 0.355 0.000
Gd 0.226 0.871 0.000
Gd 0.355 0.226 0.500
Gd 0.645 0.774 0.000
Gd 0.774 0.129 0.500
Gd 0.871 0.645 0.500
Cu 0.000 0.000 0.463
Cu 0.000 0.000 0.963
Si 0.333 0.667 0.590
Si 0.667 0.333 0.090
Se 0.095 0.259 0.477
Se 0.102 0.582 0.742
Se 0.164 0.905 0.477
Se 0.259 0.164 0.977
Se 0.333 0.667 0.214
Se 0.418 0.521 0.742
Se 0.479 0.898 0.742
Se 0.521 0.102 0.242
Se 0.582 0.479 0.242
Se 0.667 0.333 0.714
Se 0.741 0.836 0.477
Se 0.836 0.095 0.977
Se 0.898 0.418 0.242
Se 0.905 0.741 0.977

Properties
DFT total energy: -7.691 eV/atom
uncorrected formation energy: -1.34 eV/atom

=====

# 2
Compound: SrGdCuSe3
Source: Alexandria
Functional: PBE
Structure: optimized geometry

Unit cell a=10.797 b=4.124 c=13.630 alpha=90.00 beta=90.00 gamma=90.00
Atoms (fractional coordinates):
Sr 0.225 0.250 0.001
Sr 0.275 0.750 0.501
Sr 0.725 0.250 0.499
Sr 0.775 0.750 0.999
Gd 0.018 0.750 0.743
Gd 0.482 0.250 0.243
Gd 0.518 0.750 0.757
Gd 0.982 0.250 0.257
Cu 0.236 0.750 0.223
Cu 0.264 0.250 0.723
Cu 0.736 0.750 0.277
Cu 0.764 0.250 0.777
Se 0.051 0.750 0.116
Se 0.090 0.250 0.607
Se 0.236 0.250 0.329
Se 0.264 0.750 0.829
Se 0.410 0.750 0.107
Se 0.449 0.250 0.616
Se 0.551 0.750 0.384
Se 0.590 0.250 0.893
Se 0.736 0.250 0.171
Se 0.764 0.750 0.671
Se 0.910 0.750 0.393
Se 0.949 0.250 0.884

Properties
DFT total energy: -6.617 eV/atom
uncorrected formation energy: -1.57 eV/atom

=====

# 3
Compound: GdCuSi
Source: Alexandria
Functional: PBE
Structure: optimized geometry

Unit cell a=4.061 b=4.061 c=4.089 alpha=90.00 beta=90.00 gamma=120.00
Atoms (fractional coordinates):
Gd 0.000 0.000 0.000
Cu 0.333 0.667 0.500
Si 0.667 0.333 0.500

Properties
DFT total energy: -8.497 eV/atom
uncorrected formation energy: -0.63 eV/atom

=====

# 4
Compound: Gd2CuSi
Source: Alexandria
Functional: PBE
Structure: optimized geometry

Unit cell a=4.924 b=4.924 c=3.617 alpha=90.00 beta=90.00 gamma=90.00
Atoms (fractional coordinates):
Gd 0.000 0.500 0.000
Gd 0.500 0.000 0.000
Cu 0.000 0.000 0.500
Si 0.500 0.500 0.500

Properties
DFT total energy: -9.838 eV/atom
uncorrected formation energy: -0.42 eV/atom

=====

# 5
Compound: GdCuSi
Source: Alexandria
Functional: PBE
Structure: optimized geometry

Unit cell a=3.932 b=3.932 c=8.009 alpha=90.00 beta=90.00 gamma=90.00
Atoms (fractional coordinates):
Gd 0.000 0.000 0.000
Gd 0.500 0.500 0.500
Cu 0.000 0.000 0.652
Cu 0.500 0.500 0.152
Si 0.000 0.000 0.355
Si 0.500 0.500 0.855

Properties
DFT total energy: -7.923 eV/atom
uncorrected formation energy: -0.06 eV/atom

=====

# 6
Compound: GdCuSi
Source: Alexandria
Functional: PBE
Structure: optimized geometry

Unit cell a=6.213 b=6.213 c=6.213 alpha=90.00 beta=90.00 gamma=90.00
Atoms (fractional coordinates):
Gd 0.000 0.000 0.000
Gd 0.000 0.500 0.500
Gd 0.500 0.000 0.500
Gd 0.500 0.500 0.000
Cu 0.250 0.250 0.250
Cu 0.250 0.750 0.750
Cu 0.750 0.250 0.750
Cu 0.750 0.750 0.250
Si 0.000 0.000 0.500
Si 0.000 0.500 0.000
Si 0.500 0.000 0.000
Si 0.500 0.500 0.500

Properties
DFT total energy: -8.335 eV/atom
uncorrected formation energy: -0.47 eV/atom

=====

# 7
Compound: GdCuSi
Source: Alexandria
Functional: PBE
Structure: optimized geometry

Unit cell a=4.175 b=4.175 c=7.613 alpha=90.00 beta=90.00 gamma=120.00
Atoms (fractional coordinates):
Gd 0.000 0.000 0.000
Gd 0.000 0.000 0.500
Cu 0.333 0.667 0.250
Cu 0.667 0.333 0.750
Si 0.333 0.667 0.750
Si 0.667 0.333 0.250

Properties
DFT total energy: -8.523 eV/atom
uncorrected formation energy: -0.66 eV/atom

=====

# 8
Compound: TbGdCuSi
Source: Alexandria
Functional: PBE
Structure: optimized geometry

Unit cell a=7.026 b=7.026 c=7.026 alpha=90.00 beta=90.00 gamma=90.00
Atoms (fractional coordinates):
Tb 0.000 0.000 0.000
Tb 0.000 0.500 0.500
Tb 0.500 0.000 0.500
Tb 0.500 0.500 0.000
Gd 0.000 0.000 0.500
Gd 0.000 0.500 0.000
Gd 0.500 0.000 0.000
Gd 0.500 0.500 0.500
Cu 0.250 0.250 0.250
Cu 0.250 0.750 0.750
Cu 0.750 0.250 0.750
Cu 0.750 0.750 0.250
Si 0.250 0.250 0.750
Si 0.250 0.750 0.250
Si 0.750 0.250 0.250
Si 0.750 0.750 0.750

Properties
DFT total energy: -7.485 eV/atom
uncorrected formation energy: -0.43 eV/atom

=====

Which formula does entry 4 have?
Gd2CuSi